(1)
DFT (PBE) results for KPrHgTe3 after structural relaxation.

Unit cell a=9.503 b=4.612 c=10.887 alpha=90.00 beta=106.10 gamma=90.00
Atoms (fractional coordinates):
K 0.218 0.250 0.251
K 0.782 0.750 0.749
Pr 0.320 0.750 0.861
Pr 0.680 0.250 0.139
Hg 0.093 0.250 0.616
Hg 0.907 0.750 0.384
Te 0.083 0.250 0.872
Te 0.234 0.750 0.538
Te 0.456 0.750 0.161
Te 0.544 0.250 0.839
Te 0.766 0.250 0.462
Te 0.917 0.750 0.128

Results
**Raw total energy**: -42.77 eV/cell
**M_tot**: 0.000 μB per atom
**Energy relative to the elements, uncorrected**: -963 meV/atom



(2)
DFT (PBE) results for BaAlOs2 after structural relaxation.

Unit cell a=2.958 b=2.958 c=9.287 alpha=90.00 beta=90.00 gamma=114.10
Atoms (fractional coordinates):
Ba 0.000 0.000 0.000
Al 0.000 0.000 0.500
Os 0.500 0.500 0.294
Os 0.500 0.500 0.706

Results
**Raw total energy**: -25.00 eV/cell
**M_tot**: 0.000 μB per atom
**Formation energy from the elements**: 781 meV per atom



(3)
DFT (PBE) results for V2RhW after structural relaxation.

Unit cell a=3.066 b=3.066 c=6.093 alpha=90.00 beta=90.00 gamma=90.00
Atoms (fractional coordinates):
V 0.000 0.000 0.242
V 0.000 0.000 0.758
Rh 0.500 0.500 0.500
W 0.500 0.500 0.000

Results
**Raw total energy**: -39.34 eV/cell
**M_tot**: 0.000 μB per atom
**Formation energy from the elements**: -200 meV per atom



(4)
DFT (PBE) results for Y5Ru3 after structural relaxation.

Unit cell a=6.375 b=6.375 c=4.649 alpha=90.00 beta=90.00 gamma=108.08
Atoms (fractional coordinates):
Y 0.000 0.000 0.000
Y 0.000 0.500 0.000
Y 0.287 0.287 0.500
Y 0.500 0.000 0.000
Y 0.713 0.713 0.500
Ru 0.218 0.782 0.500
Ru 0.500 0.500 0.000
Ru 0.782 0.218 0.500

Results
**Distance to the lowest polymorph of the same formula**: 4.17 kcal/mol of atoms
**Raw total energy**: -61.31 eV/cell
**M_tot**: 0.000 μB per atom
**Formation energy from the elements**: -145 meV per atom